1.
DFT (GGA+U) results for an optimized crystal structure of Pm2VAg2O6.

Values from the calculation:
space-group type = C2/m (12)

abc: 6.014 6.014 6.464
angles: 83.91 83.91 121.34
Last column: magnetic moment on the atom in μB.
Atoms (fractional coordinates):
Pm 0.664 0.336 0.500  0.00
O 0.051 0.748 0.330  0.00
Ag 0.147 0.853 0.000  0.00
O 0.949 0.252 0.670  0.00
Pm 0.336 0.664 0.500  0.00
Ag 0.853 0.147 0.000  0.00
O 0.313 0.313 0.355  -0.04
O 0.748 0.051 0.330  0.00
V 0.000 0.000 0.500  1.05
O 0.687 0.687 0.645  -0.04
O 0.252 0.949 0.670  0.00

---

2.
DFT (GGA+U) results for an optimized crystal structure of Pm2VAgO6.

Values from the calculation:
space-group type = P4mm (99)

abc: 5.205 5.344 5.344
angles: 90.00 90.00 90.00
Atoms (fractional coordinates):
O 0.741 0.772 0.228
O 0.741 0.228 0.228
O 0.100 0.500 0.500
O 0.741 0.228 0.772
O 0.741 0.772 0.772
Ag 0.504 0.500 0.500
V 0.612 0.000 0.000
Pm 0.999 0.000 0.500
O 0.269 0.000 0.000
Pm 0.999 0.500 0.000

---

| no. | density of states at the Fermi level (states/eV per cell) | spin magnetization (Bohr magnetons per cell) | total energy (eV per cell) |
| --- | --- | --- | --- |
| 1 | 0.00 | 1.0 | -74.93 |
| 2 | 0.00 | 0.0 | -71.88 |